(1)
Material: Zr2InCo2
Method: DFT, meta-GGA SCAN
State: PBEsol geometry

formation enthalpy at 0 K: -325 meV/atom

Structure (CIF):
```
data_Zr2InCo2
_chemical_formula_sum 'Zr4 In2 Co4'
_cell_length_a 7.0856
_cell_length_b 7.0856
_cell_length_c 3.2528
_cell_angle_alpha 90.00
_cell_angle_beta 90.00
_cell_angle_gamma 90.00
_space_group_name_H-M_alt 'P 4/m b m'
_space_group_IT_number 127
_space_group_name_Hall '-P 4 2ab'
loop_
_atom_site_label
_atom_site_type_symbol
_atom_site_fract_x
_atom_site_fract_y
_atom_site_fract_z
_atom_site_occupancy
Zr1 Zr 0.1678 0.3322 0.0000 1
In1 In 0.0000 0.0000 0.5000 1
Co1 Co 0.1272 0.6272 0.5000 1
```

=====

(2)
Material: MgZn2In
Method: DFT, meta-GGA SCAN
State: PBEsol geometry

formation enthalpy at 0 K: -43 meV/atom

Structure (CIF):
```
data_MgZn2In
_chemical_formula_sum 'Mg2 Zn4 In2'
_cell_length_a 4.2774
_cell_length_b 3.2858
_cell_length_c 10.5663
_cell_angle_alpha 90.00
_cell_angle_beta 90.00
_cell_angle_gamma 90.00
_space_group_name_H-M_alt 'A m m 2'
_space_group_IT_number 38
loop_
_space_group_symop_operation_xyz
'x,y,z'
'-x,-y,z'
'-x,y,z'
'x,-y,z'
'x,y+1/2,z+1/2'
'-x,-y+1/2,z+1/2'
'-x,y+1/2,z+1/2'
'x,-y+1/2,z+1/2'
loop_
_atom_site_label
_atom_site_type_symbol
_atom_site_fract_x
_atom_site_fract_y
_atom_site_fract_z
_atom_site_occupancy
Mg1 Mg 0.0000 0.0000 0.0000 1
Zn1 Zn 0.0000 0.0000 0.2728 1
Zn2 Zn 0.5000 0.0000 0.4065 1
In1 In 0.5000 0.0000 0.6711 1
```

=====

(3)
Material: TaTeS2N
Method: DFT, meta-GGA SCAN
State: PBEsol geometry

ΔE to the lowest computed polymorph: 0.000 eV per atom
formation energy from raw total energies: -0.02 eV/atom

Structure (CIF):
```
data_TaTeS2N
_chemical_formula_sum 'Ta1 Te1 S2 N1'
_cell_length_a 4.8975
_cell_length_b 4.8975
_cell_length_c 3.8783
_cell_angle_alpha 90.00
_cell_angle_beta 90.00
_cell_angle_gamma 90.00
_space_group_name_H-M_alt 'P 4/m m m'
_space_group_IT_number 123
_space_group_name_Hall '-P 4 2'
loop_
_atom_site_label
_atom_site_type_symbol
_atom_site_fract_x
_atom_site_fract_y
_atom_site_fract_z
_atom_site_occupancy
Ta1 Ta 0.0000 0.0000 0.0000 1
Te1 Te 0.5000 0.5000 0.5000 1
S1 S 0.0000 0.5000 0.0000 1
N1 N 0.0000 0.0000 0.5000 1
```

=====

Number 1: volume 16.331 A^3/atom. Number 2: volume 18.563 A^3/atom. Number 3: volume 18.604 A^3/atom.